1.
CaIn3Ag2 | the Alexandria database | PBE-GGA | optimized geometry; volume = 291.7 Å³/cell; E_form = -0.2212 eV per atom; electronic total energy = -2.8744 eV/atom
1.0
-3.6718 -0.2843 2.6925
-2.5144 -8.4106 -0.4521
2.2808 -5.5944 6.3844
In Ca Ag
6 2 4
direct
0.6740 0.1236 0.5284
0.3260 0.8764 0.4716
0.0001 0.6608 0.3390
0.3259 0.4717 0.8765
0.6741 0.5283 0.1235
0.9999 0.3392 0.6610
0.8724 0.1275 0.1277
0.1276 0.8725 0.8723
0.5000 0.8442 0.1558
0.5000 0.1558 0.8442
0.7985 0.7016 0.7015
0.2015 0.2984 0.2985

2.
Ca2InAg | the Alexandria database | PBE-GGA | optimized geometry; volume = 99.2 Å³/cell; E_form = -0.2682 eV per atom; electronic total energy = -2.6664 eV/atom
1.0
5.1622 -0.6553 0.0000
0.6996 5.1564 0.0000
-2.9309 -2.2506 3.6638
Ca In Ag
2 1 1
direct
0.0000 0.0000 0.0000
0.2500 0.7500 0.5000
0.5000 0.5000 0.0000
0.7500 0.2500 0.5000

3.
Ca3In2Ag9 | the Alexandria database | PBE-GGA | optimized geometry; volume = 318.3 Å³/cell; E_form = -0.2097 eV per atom; electronic total energy = -2.8627 eV/atom
1.0
4.6947 0.0000 0.0000
2.3474 8.4703 0.4817
2.3474 2.3891 8.1407
Ag In Ca
9 2 3
direct
0.8673 0.8484 0.4170
0.6690 0.6913 0.9707
0.3310 0.3087 0.0293
0.8673 0.4170 0.8484
0.1327 0.5830 0.1516
0.0000 0.5000 0.5000
0.6690 0.9707 0.6913
0.1327 0.1516 0.5830
0.3310 0.0293 0.3087
0.5000 0.6944 0.3056
0.5000 0.3056 0.6944
0.7055 0.2945 0.2945
0.2945 0.7055 0.7055
0.0000 0.0000 0.0000

4.
Ca5In2Ag12 | the Alexandria database | PBE-GGA | optimized geometry; volume = 434.0 Å³/cell; E_form = -0.2093 eV per atom; electronic total energy = -2.8251 eV/atom
1.0
0.2494 -4.9395 5.1991
0.4062 -5.4420 -5.1897
8.2280 -2.4329 -2.2689
Ag Ca In
12 5 2
direct
0.8974 0.8817 0.2366
0.6435 0.5922 0.2133
0.3226 0.4470 0.1060
0.7526 0.3343 0.7059
0.2474 0.0403 0.2941
0.6435 0.1946 0.2133
0.1026 0.1183 0.7634
0.7526 0.9597 0.7059
0.3565 0.4078 0.7867
0.2474 0.6657 0.2941
0.3565 0.8054 0.7867
0.6774 0.5530 0.8940
0.4374 0.2454 0.5091
0.9577 0.3073 0.3853
0.5626 0.7546 0.4909
0.5000 0.0000 0.0000
0.0423 0.6927 0.6147
0.0000 0.2793 0.0000
0.0000 0.7207 0.0000

5.
Ca2InAg | the Alexandria database | PBE-GGA | optimized geometry; volume = 115.6 Å³/cell; E_form = -0.2268 eV per atom; electronic total energy = -2.6250 eV/atom
1.0
-2.8627 -0.8949 -2.2827
2.2968 0.2478 -2.9775
1.8503 -7.8856 0.7710
Ag Ca In
1 2 1
direct
0.5000 0.5000 0.7198
0.5000 0.5000 0.3012
0.0000 0.0000 0.9402
0.0000 0.0000 0.5388

6.
CaIn4Ag8 | the Alexandria database | PBE-GGA | optimized geometry; volume = 274.4 Å³/cell; E_form = -0.0535 eV per atom; electronic total energy = -2.8047 eV/atom
1.0
5.8274 0.0000 0.0000
2.9137 6.8625 0.0000
2.9137 0.0000 6.8625
In Ag Ca
4 8 1
direct
0.0000 0.0000 0.5000
0.0000 0.5000 0.0000
0.5000 0.0000 0.5000
0.5000 0.5000 0.0000
0.0000 0.6504 0.3496
0.2862 0.2138 0.2138
0.7138 0.7862 0.7862
0.6504 0.3496 0.3496
0.5000 0.2138 0.7862
0.0000 0.3496 0.6504
0.3496 0.6504 0.6504
0.5000 0.7862 0.2138
0.0000 0.0000 0.0000